Record 1
VASP calculation (PBEsol) on a geometry-optimized Lu2TeO6 structure.

The structure in CIF format:
```
data_Lu2TeO6
_space_group_name_H-M_alt 'C 1 2/c 1'
_space_group_IT_number 15
_cell_length_a 15.552
_cell_length_b 10.802
_cell_length_c 5.264
_cell_angle_alpha 90.00
_cell_angle_beta 105.34
_cell_angle_gamma 90.00
loop_
_space_group_symop_operation_xyz
'x,y,z'
'-x,-y,-z'
'-x,y,-z+1/2'
'x,-y,z+1/2'
'x+1/2,y+1/2,z'
'-x+1/2,-y+1/2,-z'
'-x+1/2,y+1/2,-z+1/2'
'x+1/2,-y+1/2,z+1/2'
loop_
_atom_site_label
_atom_site_type_symbol
_atom_site_fract_x
_atom_site_fract_y
_atom_site_fract_z
_atom_site_occupancy
Lu1 Lu 0.000 0.106 0.250 1
Lu2 Lu 0.000 0.385 0.750 1
Lu3 Lu 0.170 0.110 0.889 1
Te1 Te 0.159 0.339 0.408 1
O1 O 0.079 0.458 0.480 1
O2 O 0.088 0.227 0.560 1
O3 O 0.090 0.014 0.083 1
O4 O 0.094 0.282 0.069 1
O5 O 0.239 0.457 0.338 1
O6 O 0.249 0.212 0.270 1
```

Calculated density   8.93 Mg/m³
VASP energy   -7.569 eV/atom
Formation energy (no corrections)   -59.85 kcal/mol of atoms
Energy above the most stable polymorph in this dataset   0.0550 eV per atom
Crystal system   monoclinic

***

Record 2
VASP calculation (PBEsol) on a geometry-optimized NbNO2F structure.

The structure in CIF format:
```
data_NbNO2F
_space_group_name_H-M_alt 'P 4/m m m'
_space_group_IT_number 123
_space_group_name_Hall '-P 4 2'
_cell_length_a 3.909
_cell_length_b 3.909
_cell_length_c 4.255
_cell_angle_alpha 90.00
_cell_angle_beta 90.00
_cell_angle_gamma 90.00
loop_
_atom_site_label
_atom_site_type_symbol
_atom_site_fract_x
_atom_site_fract_y
_atom_site_fract_z
_atom_site_occupancy
Nb1 Nb 0.000 0.000 0.000 1
N1 N 0.000 0.000 0.500 1
O1 O 0.000 0.500 0.000 1
F1 F 0.500 0.500 0.500 1
```

Calculated density   4.03 Mg/m³
VASP energy   -6.983 eV/atom
Formation energy (no corrections)   -14.48 kcal/mol of atoms
N(E_F)   5.049 states/eV/cell
Crystal system   tetragonal

***

Record 3
VASP calculation (PBEsol) on a geometry-optimized ZnGa2NiSn structure.

The structure in CIF format:
```
data_ZnGa2NiSn
_space_group_name_H-M_alt 'P 4/m m m'
_space_group_IT_number 123
_space_group_name_Hall '-P 4 2'
_cell_length_a 5.218
_cell_length_b 5.218
_cell_length_c 4.692
_cell_angle_alpha 90.00
_cell_angle_beta 90.00
_cell_angle_gamma 90.00
loop_
_atom_site_label
_atom_site_type_symbol
_atom_site_fract_x
_atom_site_fract_y
_atom_site_fract_z
_atom_site_occupancy
Zn1 Zn 0.000 0.000 0.000 1
Ga1 Ga 0.000 0.500 0.500 1
Ni1 Ni 0.500 0.500 0.000 1
Sn1 Sn 0.500 0.500 0.500 1
```

Calculated density   4.97 Mg/m³
VASP energy   -2.906 eV/atom
N(E_F)   2.727 states/eV/cell
Crystal system   tetragonal
ΔE_f   0.830 eV per atom

***

Record 4
VASP calculation (PBEsol) on a geometry-optimized K2YSi structure.

The structure in CIF format:
```
data_K2YSi
_space_group_name_H-M_alt 'P m m m'
_space_group_IT_number 47
_cell_length_a 3.647
_cell_length_b 5.843
_cell_length_c 6.109
_cell_angle_alpha 90.00
_cell_angle_beta 90.00
_cell_angle_gamma 90.00
loop_
_space_group_symop_operation_xyz
'x,y,z'
'-x,-y,-z'
'-x,-y,z'
'x,y,-z'
'x,-y,-z'
'-x,y,z'
'-x,y,-z'
'x,-y,z'
loop_
_atom_site_label
_atom_site_type_symbol
_atom_site_fract_x
_atom_site_fract_y
_atom_site_fract_z
_atom_site_occupancy
K1 K 0.000 0.000 0.230 1
Y1 Y 0.500 0.500 0.500 1
Si1 Si 0.500 0.500 0.000 1
```

Calculated density   2.49 Mg/m³
VASP energy   -3.209 eV/atom
Formation energy (no corrections)   11.53 kcal/mol of atoms
N(E_F)   2.855 states/eV/cell
Crystal system   orthorhombic

***

Record 5
VASP calculation (PBEsol) on a geometry-optimized BaCa2Tl structure.

The structure in CIF format:
```
data_BaCa2Tl
_space_group_name_H-M_alt 'I m m m'
_space_group_IT_number 71
_space_group_name_Hall '-I 2 2'
_cell_length_a 4.009
_cell_length_b 6.151
_cell_length_c 12.401
_cell_angle_alpha 90.00
_cell_angle_beta 90.00
_cell_angle_gamma 90.00
loop_
_atom_site_label
_atom_site_type_symbol
_atom_site_fract_x
_atom_site_fract_y
_atom_site_fract_z
_atom_site_occupancy
Ba1 Ba 0.000 0.000 0.000 1
Ca1 Ca 0.000 0.500 0.203 1
Tl1 Tl 0.000 0.000 0.500 1
```

Calculated density   4.58 Mg/m³
VASP energy   -2.502 eV/atom
N(E_F)   7.028 states/eV/cell
Energy above the most stable polymorph in this dataset   0.0050 eV per atom
Crystal system   orthorhombic
ΔE_f   -0.241 eV per atom

***

Record 6
VASP calculation (PBEsol) on a geometry-optimized Ho7Te2Au2 structure.

The structure in CIF format:
```
data_Ho7Te2Au2
_space_group_name_H-M_alt 'C 1 2/m 1'
_space_group_IT_number 12
_cell_length_a 17.870
_cell_length_b 3.931
_cell_length_c 16.919
_cell_angle_alpha 90.00
_cell_angle_beta 104.42
_cell_angle_gamma 90.00
loop_
_space_group_symop_operation_xyz
'x,y,z'
'-x,-y,-z'
'-x,y,-z'
'x,-y,z'
'x+1/2,y+1/2,z'
'-x+1/2,-y+1/2,-z'
'-x+1/2,y+1/2,-z'
'x+1/2,-y+1/2,z'
loop_
_atom_site_label
_atom_site_type_symbol
_atom_site_fract_x
_atom_site_fract_y
_atom_site_fract_z
_atom_site_occupancy
Ho1 Ho 0.000 0.000 0.000 1
Ho2 Ho 0.000 0.000 0.333 1
Ho3 Ho 0.000 0.500 0.500 1
Ho4 Ho 0.073 0.500 0.172 1
Ho5 Ho 0.162 0.500 0.981 1
Ho6 Ho 0.176 0.000 0.533 1
Ho7 Ho 0.190 0.000 0.320 1
Ho8 Ho 0.221 0.000 0.805 1
Te1 Te 0.066 0.000 0.850 1
Te2 Te 0.135 0.500 0.663 1
Au1 Au 0.118 0.500 0.400 1
Au2 Au 0.169 0.000 0.111 1
```

Calculated density   10.41 Mg/m³
VASP energy   -5.359 eV/atom
Formation energy (no corrections)   -19.69 kcal/mol of atoms
N(E_F)   44.303 states/eV/cell
Crystal system   monoclinic

***

- Look up the VASP energy of the third one.
  -2.906 eV/atom